Material: ZnAgSe4
Method: DFT, PBE
State: optimized geometry

- Calculated total energy: -2.4989 eV/atom
- ΔE_f (raw): 511.6 meV per atom
- Spin magnetization: 0.00 Bohr magnetons per cell
- Calculated volume: 536.8 Å³/cell
- Crystal system: cubic

a b c (Å): 8.1269 8.1269 8.1269
angles (deg): 90.00 90.00 90.00
Closest atoms and distances in Å follow each position.
Space group F-43m (No. 216)
Asymmetric unit:
Zn1 0.0000 0.0000 0.0000 (multiplicity 4)  12 Se 3.37, 4 Ag 3.52
Ag1 0.2500 0.2500 0.7500 (multiplicity 4)  12 Se 3.37, 4 Zn 3.52
Se1 0.1262 0.1262 0.3738 (multiplicity 16)  6 Se 2.85-2.90